# 1
A plane-wave DFT calculation with PBE was carried out for a relaxed Mn3CdPd crystal.

- polymorph energy (0 for the lowest one) (eV/atom) = 0.000
- total DFT energy (no corrections) (eV/atom) = -5.9370
- formation enthalpy at 0 K (eV/atom) = 0.786

a b c (Å): 4.862 4.862 4.862
angles (deg): 90.00 90.00 90.00
Fractional coordinates of all 5 atoms:
Mn: 0.000 0.000 0.500
Mn: 0.000 0.500 0.000
Mn: 0.500 0.000 0.000
Cd: 0.500 0.500 0.500
Pd: 0.000 0.000 0.000

---

# 2
A plane-wave DFT calculation with PBE was carried out for a relaxed MnCd2Pd4 crystal.

- total DFT energy (no corrections) (eV/atom) = -4.7037
- formation enthalpy at 0 K (eV/atom) = -0.165

a b c (Å): 5.760 5.760 7.551
angles (deg): 90.00 90.00 90.00
Fractional coordinates of all 14 atoms:
Mn: 0.000 0.000 0.000
Mn: 0.500 0.500 0.500
Cd: 0.000 0.500 0.000
Cd: 0.000 0.500 0.500
Cd: 0.500 0.000 0.000
Cd: 0.500 0.000 0.500
Pd: 0.250 0.250 0.250
Pd: 0.250 0.250 0.750
Pd: 0.250 0.750 0.250
Pd: 0.250 0.750 0.750
Pd: 0.750 0.250 0.250
Pd: 0.750 0.250 0.750
Pd: 0.750 0.750 0.250
Pd: 0.750 0.750 0.750

---

# 3
A plane-wave DFT calculation with PBE was carried out for a relaxed Mn2CdPd8 crystal.

- total DFT energy (no corrections) (eV/atom) = -5.6785
- formation enthalpy at 0 K (eV/atom) = -0.151

a b c (Å): 7.303 7.303 7.303
angles (deg): 146.66 122.97 67.69
Fractional coordinates of all 11 atoms:
Mn: 0.195 0.195 0.000
Mn: 0.805 0.805 0.000
Cd: 0.500 0.500 0.000
Pd: 0.057 0.342 0.715
Pd: 0.195 0.000 0.195
Pd: 0.347 0.847 0.500
Pd: 0.374 0.658 0.715
Pd: 0.626 0.342 0.285
Pd: 0.653 0.153 0.500
Pd: 0.805 0.000 0.805
Pd: 0.943 0.658 0.285

---

# 4
A plane-wave DFT calculation with PBE was carried out for a relaxed MnCd2Pd3 crystal.

- total DFT energy (no corrections) (eV/atom) = -4.7630
- formation enthalpy at 0 K (eV/atom) = -0.333

a b c (Å): 6.750 6.750 7.336
angles (deg): 90.00 90.00 143.13
Fractional coordinates of all 12 atoms:
Mn: 0.166 0.834 0.000
Mn: 0.834 0.166 0.000
Cd: 0.167 0.833 0.500
Cd: 0.500 0.500 0.000
Cd: 0.500 0.500 0.500
Cd: 0.833 0.167 0.500
Pd: 0.000 0.000 0.242
Pd: 0.000 0.000 0.758
Pd: 0.329 0.671 0.232
Pd: 0.329 0.671 0.768
Pd: 0.671 0.329 0.232
Pd: 0.671 0.329 0.768

---

D(E_F) values (in states/eV/cell) by entry order: 2.993 4.981 10.298 3.636.